[1]
The following is a GGA+U calculation of a relaxed structure of Li2V2BiO7, from Alexandria via LeMat-Bulk.

abc: 8.3909 8.3909 8.3909
angles: 37.63 37.63 37.63
Last column: nearest neighbours and their distance in Å.
Sites, in units of the cell vectors:
Li1 0.2407 0.2407 0.2407  3 O 1.91
Li2 0.7593 0.7593 0.7593  3 O 1.91
V1 0.0772 0.0772 0.0772  4 O 1.77-1.80
V2 0.9228 0.9228 0.9228  4 O 1.77-1.80
Bi1 0.5000 0.5000 0.5000  6 O 2.39
O1 0.0000 0.0000 0.0000  2 V 1.80
O2 0.1060 0.4084 0.7947  1 V 1.77, 1 Li 1.91
O3 0.2053 0.5916 0.8940  1 V 1.77, 1 Li 1.91
O4 0.4084 0.7947 0.1060  1 V 1.77, 1 Li 1.91
O5 0.5916 0.8940 0.2053  1 V 1.77, 1 Li 1.91
O6 0.7947 0.1060 0.4084  1 V 1.77, 1 Li 1.91
O7 0.8940 0.2053 0.5916  1 V 1.77, 1 Li 1.91

Summary:
Energy   -6.5695 eV per atom
Calculated volume   197.5 Å³/cell
Crystal system   trigonal
Magnetization   1.00 Bohr magnetons per cell
SG   No. 155
D(E_F)   5.5 states/eV/f.u.

[2]
The following is a GGA+U calculation of a relaxed structure of LiV2BiO6, from Alexandria via LeMat-Bulk.

abc: 7.1103 7.1103 6.2555
angles: 104.99 104.99 103.80
Last column: nearest neighbours and their distance in Å.
Sites, in units of the cell vectors:
Li1 0.2001 0.7999 0.7500  4 O 2.07-2.08
Li2 0.7999 0.2001 0.2500  4 O 2.07-2.08
V1 0.2906 0.4658 0.3153  2 O 1.70-1.90
V2 0.4658 0.2906 0.8153  2 O 1.70-1.90
V3 0.5342 0.7094 0.1847  2 O 1.70-1.90
V4 0.7094 0.5342 0.6847  2 O 1.70-1.90
Bi1 0.0833 0.9167 0.2500  4 O 2.23-2.39
Bi2 0.9167 0.0833 0.7500  4 O 2.23-2.39
O1 0.0668 0.2010 0.1703  1 V 1.96, 1 Li 2.08
O2 0.1588 0.6198 0.4134  1 V 1.70
O3 0.2010 0.0668 0.6703  1 V 1.96, 1 Li 2.08
O4 0.3335 0.4273 0.0210  3 V 1.90-1.98
O5 0.3802 0.8412 0.0866  1 V 1.70
O6 0.4273 0.3335 0.5210  3 V 1.90-1.98
O7 0.5727 0.6665 0.4790  3 V 1.90-1.98
O8 0.6198 0.1588 0.9134  1 V 1.70
O9 0.6665 0.5727 0.9790  3 V 1.90-1.98
O10 0.7990 0.9332 0.3297  1 V 1.96, 1 Li 2.08
O11 0.8412 0.3802 0.5866  1 V 1.70
O12 0.9332 0.7990 0.8297  1 V 1.96, 1 Li 2.08

Summary:
Energy   -6.7604 eV per atom
Calculated volume   278.8 Å³/cell
Crystal system   monoclinic
Magnetization   0.00 Bohr magnetons per cell
SG   No. 15

[3]
The following is a GGA+U calculation of a relaxed structure of LiVBi2O5, from Alexandria via LeMat-Bulk.

abc: 8.0055 8.0055 9.6309
angles: 90.00 90.00 156.08
Last column: nearest neighbours and their distance in Å.
Sites, in units of the cell vectors:
Li1 0.0599 0.9401 0.5000  3 O 1.92-1.94
Li2 0.9401 0.0599 0.0000  3 O 1.92-1.94
V1 0.2933 0.7067 0.0469  6 O 1.99-2.15
V2 0.7067 0.2933 0.5469  6 O 1.99-2.15
Bi1 0.3531 0.6469 0.7272  3 O 2.18-2.31
Bi2 0.4018 0.5982 0.3163  3 O 2.17-2.21
Bi3 0.5982 0.4018 0.8163  3 O 2.17-2.21
Bi4 0.6469 0.3531 0.2272  3 O 2.18-2.31
O1 0.0055 0.9945 0.8284  1 Li 1.94
O2 0.1617 0.8383 0.0626  1 V 2.07, 2 Bi 2.31
O3 0.1883 0.8117 0.4118  2 V 2.13, 1 Li 2.18
O4 0.2162 0.7838 0.6874  2 V 2.15, 1 Bi 2.18
O5 0.4172 0.5828 0.0922  2 Li 1.92, 1 V 1.99
O6 0.5828 0.4172 0.5922  2 Li 1.92, 1 V 1.99
O7 0.7838 0.2162 0.1874  2 V 2.15, 1 Bi 2.18
O8 0.8117 0.1883 0.9118  2 V 2.13, 1 Li 2.18
O9 0.8383 0.1617 0.5626  1 V 2.07, 2 Bi 2.31
O10 0.9945 0.0055 0.3284  1 Li 1.94

Summary:
Energy   -6.1699 eV per atom
Calculated volume   250.2 Å³/cell
Crystal system   orthorhombic
Magnetization   4.00 Bohr magnetons per cell
SG   No. 36